Entry 1:
{
  "formula": "PrBBr",
  "functional": "PBE",
  "state": "optimized geometry",
  "final_energy_ev_per_atom": -4.71,
  "raw_formation_energy_mev_per_atom": -329,
  "sg": "Immm, No. 71",
  "vol_a3_per_atom": 27.4,
  "de_polymorph_ev_per_fu": 1.86,
  "lattice_angstrom": [[-2.167, 2.274, 8.355], [2.167, -2.274, 8.355], [2.167, 2.274, -8.355]],
  "species": ["Pr", "Pr", "B", "B", "Br", "Br"],
  "frac_coords": [[0.120, 0.120, 0.000], [0.880, 0.880, 0.000], [0.000, 0.325, 0.325], [0.000, 0.675, 0.675], [0.320, 0.320, 0.000], [0.680, 0.680, 0.000]]
}

---

Entry 2:
{
  "formula": "PrBBr",
  "functional": "PBE",
  "state": "optimized geometry",
  "final_energy_ev_per_atom": -5.33,
  "raw_formation_energy_mev_per_atom": -950,
  "sg": "C2/m, No. 12",
  "vol_a3_per_atom": 24.9,
  "de_polymorph_ev_per_fu": 0.00,
  "lattice_angstrom": [[3.753, -1.689, 0.000], [3.753, 1.689, 0.000], [-2.134, 0.000, 11.768]],
  "species": ["Pr", "Pr", "B", "B", "Br", "Br"],
  "frac_coords": [[0.052, 0.052, 0.158], [0.948, 0.948, 0.842], [0.275, 0.275, 0.998], [0.725, 0.725, 0.002], [0.203, 0.203, 0.672], [0.797, 0.797, 0.328]]
}

---

Entry 3:
{
  "formula": "Pr4BSBr2",
  "functional": "PBE",
  "state": "optimized geometry",
  "final_energy_ev_per_atom": -5.40,
  "raw_formation_energy_mev_per_atom": -1243,
  "sg": "P2/m, No. 10",
  "vol_a3_per_atom": 26.8,
  "lattice_angstrom": [[7.110, 0.000, 0.000], [0.000, 4.072, 0.000], [-2.359, 0.000, 7.415]],
  "species": ["Pr", "Pr", "Pr", "Pr", "B", "S", "Br", "Br"],
  "frac_coords": [[0.215, 0.000, 0.195], [0.248, 0.500, 0.803], [0.752, 0.500, 0.197], [0.785, 0.000, 0.805], [0.000, 0.500, 0.000], [0.500, 0.000, 0.000], [0.000, 0.000, 0.500], [0.500, 0.500, 0.500]]
}

---

Entry 4:
{
  "formula": "Pr8BS3Br4",
  "functional": "PBE",
  "state": "optimized geometry",
  "final_energy_ev_per_atom": -5.44,
  "raw_formation_energy_mev_per_atom": -1440,
  "sg": "R-3m, No. 166",
  "vol_a3_per_atom": 27.0,
  "lattice_angstrom": [[4.123, 2.380, 7.344], [-4.123, 2.380, 7.344], [0.000, -4.760, 7.344]],
  "species": ["Pr", "Pr", "Pr", "Pr", "Pr", "Pr", "Pr", "Pr", "B", "S", "S", "S", "Br", "Br", "Br", "Br"],
  "frac_coords": [[0.232, 0.232, 0.232], [0.249, 0.724, 0.724], [0.276, 0.276, 0.751], [0.276, 0.751, 0.276], [0.724, 0.249, 0.724], [0.724, 0.724, 0.249], [0.751, 0.276, 0.276], [0.768, 0.768, 0.768], [0.500, 0.500, 0.500], [0.000, 0.000, 0.500], [0.000, 0.500, 0.000], [0.500, 0.000, 0.000], [0.000, 0.000, 0.000], [0.000, 0.500, 0.500], [0.500, 0.000, 0.500], [0.500, 0.500, 0.000]]
}

---

Entry 5:
{
  "formula": "B2PtBr",
  "functional": "PBE",
  "state": "optimized geometry",
  "final_energy_ev_per_atom": -4.61,
  "raw_formation_energy_mev_per_atom": 656,
  "sg": "I-42d, No. 122",
  "vol_a3_per_atom": 17.3,
  "de_polymorph_ev_per_fu": 0.00,
  "lattice_angstrom": [[-2.608, 2.608, 5.090], [2.608, -2.608, 5.090], [2.608, 2.608, -5.090]],
  "species": ["B", "B", "B", "B", "Pt", "Pt", "Br", "Br"],
  "frac_coords": [[0.046, 0.625, 0.921], [0.375, 0.296, 0.421], [0.704, 0.125, 0.079], [0.875, 0.954, 0.579], [0.000, 0.000, 0.000], [0.750, 0.250, 0.500], [0.250, 0.750, 0.500], [0.500, 0.500, 0.000]]
}

---

Entry 6:
{
  "formula": "B2PtBr",
  "functional": "PBE",
  "state": "optimized geometry",
  "final_energy_ev_per_atom": -3.36,
  "raw_formation_energy_mev_per_atom": 1910,
  "sg": "Fm-3m, No. 225",
  "vol_a3_per_atom": 13.2,
  "de_polymorph_ev_per_fu": 5.02,
  "lattice_angstrom": [[0.000, 2.976, 2.976], [2.976, 0.000, 2.976], [2.976, 2.976, 0.000]],
  "species": ["B", "B", "Pt", "Br"],
  "frac_coords": [[0.250, 0.250, 0.250], [0.750, 0.750, 0.750], [0.000, 0.000, 0.000], [0.500, 0.500, 0.500]]
}

---

Entry 7:
{
  "formula": "B3PtBr",
  "functional": "PBE",
  "state": "optimized geometry",
  "final_energy_ev_per_atom": -3.08,
  "raw_formation_energy_mev_per_atom": 2466,
  "sg": "Pm-3m, No. 221",
  "vol_a3_per_atom": 13.3,
  "de_polymorph_ev_per_fu": 7.88,
  "lattice_angstrom": [[4.051, 0.000, 0.000], [0.000, 4.051, 0.000], [0.000, 0.000, 4.051]],
  "species": ["B", "B", "B", "Pt", "Br"],
  "frac_coords": [[0.000, 0.000, 0.500], [0.000, 0.500, 0.000], [0.500, 0.000, 0.000], [0.500, 0.500, 0.500], [0.000, 0.000, 0.000]]
}

---

Entry 8:
{
  "formula": "B2PtBr8",
  "functional": "PBE",
  "state": "optimized geometry",
  "final_energy_ev_per_atom": -3.35,
  "raw_formation_energy_mev_per_atom": -374,
  "sg": "C2/m, No. 12",
  "vol_a3_per_atom": 37.1,
  "lattice_angstrom": [[6.126, -4.550, 0.000], [6.126, 4.550, 0.000], [-0.919, 0.000, 7.311]],
  "species": ["B", "B", "Pt", "Br", "Br", "Br", "Br", "Br", "Br", "Br", "Br"],
  "frac_coords": [[0.212, 0.212, 0.323], [0.788, 0.788, 0.677], [0.000, 0.000, 0.000], [0.052, 0.703, 0.823], [0.187, 0.187, 0.580], [0.297, 0.948, 0.177], [0.366, 0.366, 0.277], [0.634, 0.634, 0.723], [0.703, 0.052, 0.823], [0.813, 0.813, 0.420], [0.948, 0.297, 0.177]]
}

---

Entry 9:
{
  "formula": "B3PtBr",
  "functional": "PBE",
  "state": "optimized geometry",
  "final_energy_ev_per_atom": -4.66,
  "raw_formation_energy_mev_per_atom": 891,
  "sg": "Pm-3m, No. 221",
  "vol_a3_per_atom": 15.2,
  "de_polymorph_ev_per_fu": 0.00,
  "lattice_angstrom": [[4.231, 0.000, 0.000], [0.000, 4.231, 0.000], [0.000, 0.000, 4.231]],
  "species": ["B", "B", "B", "Pt", "Br"],
  "frac_coords": [[0.000, 0.000, 0.500], [0.000, 0.500, 0.000], [0.500, 0.000, 0.000], [0.000, 0.000, 0.000], [0.500, 0.500, 0.500]]
}

---

Entry 10:
{
  "formula": "Rb2BPtBr6",
  "functional": "PBE",
  "state": "optimized geometry",
  "final_energy_ev_per_atom": -3.08,
  "raw_formation_energy_mev_per_atom": -606,
  "sg": "I4/mmm, No. 139",
  "vol_a3_per_atom": 32.1,
  "lattice_angstrom": [[-4.029, 4.029, 4.947], [4.029, -4.029, 4.947], [4.029, 4.029, -4.947]],
  "species": ["Rb", "Rb", "B", "Pt", "Br", "Br", "Br", "Br", "Br", "Br"],
  "frac_coords": [[0.250, 0.750, 0.500], [0.750, 0.250, 0.500], [0.000, 0.000, 0.000], [0.500, 0.500, 0.000], [0.189, 0.189, 0.000], [0.277, 0.277, 0.553], [0.277, 0.723, 0.000], [0.723, 0.277, 0.000], [0.723, 0.723, 0.447], [0.811, 0.811, 0.000]]
}

---

Entry 11:
{
  "formula": "Rb2BPtBr",
  "functional": "PBE",
  "state": "optimized geometry",
  "final_energy_ev_per_atom": -2.48,
  "raw_formation_energy_mev_per_atom": 785,
  "sg": "P4/mmm, No. 123",
  "vol_a3_per_atom": 33.4,
  "lattice_angstrom": [[6.368, 0.000, 0.000], [0.000, 6.368, 0.000], [0.000, 0.000, 4.114]],
  "species": ["Rb", "Rb", "B", "Pt", "Br"],
  "frac_coords": [[0.000, 0.500, 0.000], [0.500, 0.000, 0.000], [0.000, 0.000, 0.000], [0.500, 0.500, 0.500], [0.000, 0.000, 0.500]]
}

---

Entry 12:
{
  "formula": "PuBBr",
  "functional": "PBE",
  "state": "optimized geometry",
  "final_energy_ev_per_atom": -8.28,
  "raw_formation_energy_mev_per_atom": -724,
  "sg": "C2/m, No. 12",
  "vol_a3_per_atom": 20.8,
  "lattice_angstrom": [[3.009, -1.737, 0.000], [3.009, 1.737, 0.000], [-1.956, 0.000, 11.925]],
  "species": ["Pu", "Pu", "B", "B", "Br", "Br"],
  "frac_coords": [[0.051, 0.051, 0.156], [0.949, 0.949, 0.844], [0.332, 0.332, 0.995], [0.668, 0.668, 0.005], [0.225, 0.225, 0.666], [0.775, 0.775, 0.334]]
}